Below is an optimized crystal structure of SrAl2ZnCo, with properties calculated at the PBE-GGA level.

```
SrAl2ZnCo
1.0
4.580 0.000 0.000
0.000 4.580 0.000
0.000 0.000 4.776
Sr Al Zn Co
1 2 1 1
direct
0.000 0.000 0.000
0.000 0.500 0.500
0.500 0.000 0.500
0.500 0.500 0.000
0.500 0.500 0.500
```

Calculated values
N(E_F): 3.72 states/eV per cell
Density: 4.41 Mg/m³
V: 20.04 Å³/atom
Space group: P4/mmm, No. 123
Energy of formation from the pure elements: -0.25 eV/atom